A geometry-optimized ReHRu2Rh structure, computed with PBE.

```
ReHRu2Rh
1.0
3.885 0.000 0.000
0.000 3.885 0.000
0.000 0.000 3.913
Re H Ru Rh
1 1 2 1
direct
0.000 0.000 0.000 Re
0.000 0.000 0.500 H
0.000 0.500 0.500 Ru
0.500 0.000 0.500 Ru
0.500 0.500 0.000 Rh
```

Computed properties:
Electronic total energy = -8.249 eV/atom
DOS(E_F) = 3.60 states/eV per cell


A geometry-optimized ReHRu2Rh structure, computed with PBE.

```
ReHRu2Rh
1.0
3.911 0.000 0.000
0.000 3.911 0.000
0.000 0.000 3.849
Re H Ru Rh
1 1 2 1
direct
0.000 0.000 0.000 Re
0.500 0.500 0.500 H
0.000 0.500 0.500 Ru
0.500 0.000 0.500 Ru
0.500 0.500 0.000 Rh
```

Computed properties:
Electronic total energy = -8.292 eV/atom
DOS(E_F) = 3.05 states/eV per cell


A geometry-optimized Re2HRuRh structure, computed with PBE.

```
Re2HRuRh
1.0
3.913 0.000 0.000
0.000 3.913 0.000
0.000 0.000 3.917
Re H Ru Rh
2 1 1 1
direct
0.000 0.500 0.000 Re
0.500 0.000 0.000 Re
0.000 0.000 0.000 H
0.000 0.000 0.500 Ru
0.500 0.500 0.500 Rh
```

Computed properties:
Electronic total energy = -8.889 eV/atom
DOS(E_F) = 3.80 states/eV per cell


A geometry-optimized Re2HRuRh structure, computed with PBE.

```
Re2HRuRh
1.0
3.915 0.000 0.000
0.000 3.915 0.000
0.000 0.000 3.918
Re H Ru Rh
2 1 1 1
direct
0.000 0.500 0.000 Re
0.500 0.000 0.000 Re
0.000 0.000 0.000 H
0.500 0.500 0.500 Ru
0.000 0.000 0.500 Rh
```

Computed properties:
Electronic total energy = -8.879 eV/atom
DOS(E_F) = 3.51 states/eV per cell


A geometry-optimized ScReH2Rh structure, computed with PBE.

```
ScReH2Rh
1.0
3.652 0.000 0.000
0.000 3.652 0.000
0.000 0.000 5.022
Sc Re H Rh
1 1 2 1
direct
0.000 0.000 0.000 Sc
0.500 0.500 0.000 Re
0.000 0.500 0.500 H
0.500 0.000 0.500 H
0.000 0.000 0.500 Rh
```

Computed properties:
Electronic total energy = -5.668 eV/atom
DOS(E_F) = 3.37 states/eV per cell


A geometry-optimized ReSi2HRh structure, computed with PBE.

```
ReSi2HRh
1.0
4.648 0.000 0.000
0.000 4.648 0.000
0.000 0.000 3.128
Re Si H Rh
1 2 1 1
direct
0.000 0.000 0.000 Re
0.000 0.500 0.500 Si
0.500 0.000 0.500 Si
0.500 0.500 0.000 H
0.500 0.500 0.500 Rh
```

Computed properties:
Electronic total energy = -6.217 eV/atom
DOS(E_F) = 4.45 states/eV per cell


A geometry-optimized SrRe2HRh structure, computed with PBE.

```
SrRe2HRh
1.0
4.693 0.000 0.000
0.000 4.693 0.000
0.000 0.000 6.088
Sr Re H Rh
1 2 1 1
direct
0.000 0.000 0.000 Sr
0.000 0.500 0.500 Re
0.500 0.000 0.500 Re
0.500 0.500 0.000 H
0.000 0.000 0.500 Rh
```

Computed properties:
Electronic total energy = -5.650 eV/atom
DOS(E_F) = 5.30 states/eV per cell


A geometry-optimized TaReHRh2 structure, computed with PBE.

```
TaReHRh2
1.0
3.887 0.000 0.000
0.000 3.887 0.000
0.000 0.000 4.145
Ta Re H Rh
1 1 1 2
direct
0.000 0.000 0.000 Ta
0.500 0.500 0.000 Re
0.000 0.000 0.500 H
0.000 0.500 0.500 Rh
0.500 0.000 0.500 Rh
```

Computed properties:
Electronic total energy = -8.703 eV/atom
DOS(E_F) = 3.35 states/eV per cell


A geometry-optimized TaReHRh2 structure, computed with PBE.

```
TaReHRh2
1.0
3.918 0.000 0.000
0.000 3.918 0.000
0.000 0.000 4.074
Ta Re H Rh
1 1 1 2
direct
0.000 0.000 0.000 Ta
0.500 0.500 0.000 Re
0.500 0.500 0.500 H
0.000 0.500 0.500 Rh
0.500 0.000 0.500 Rh
```

Computed properties:
Electronic total energy = -8.749 eV/atom
DOS(E_F) = 3.48 states/eV per cell


A geometry-optimized TaRe2HRh structure, computed with PBE.

```
TaRe2HRh
1.0
4.806 0.000 0.000
0.000 4.806 0.000
0.000 0.000 4.735
Ta Re H Rh
1 2 1 1
direct
0.000 0.000 0.000 Ta
0.000 0.500 0.000 Re
0.500 0.000 0.000 Re
0.500 0.500 0.500 H
0.000 0.000 0.500 Rh
```

Computed properties:
Electronic total energy = -6.790 eV/atom
DOS(E_F) = 10.31 states/eV per cell


A geometry-optimized TaRe2HRh structure, computed with PBE.

```
TaRe2HRh
1.0
3.972 0.000 0.000
0.000 3.972 0.000
0.000 0.000 4.043
Ta Re H Rh
1 2 1 1
direct
0.000 0.000 0.000 Ta
0.000 0.500 0.500 Re
0.500 0.000 0.500 Re
0.500 0.500 0.500 H
0.500 0.500 0.000 Rh
```

Computed properties:
Electronic total energy = -9.591 eV/atom
DOS(E_F) = 2.61 states/eV per cell


A geometry-optimized TaRe2HRh structure, computed with PBE.

```
TaRe2HRh
1.0
3.945 0.000 0.000
0.000 3.945 0.000
0.000 0.000 4.104
Ta Re H Rh
1 2 1 1
direct
0.000 0.000 0.000 Ta
0.000 0.500 0.500 Re
0.500 0.000 0.500 Re
0.000 0.000 0.500 H
0.500 0.500 0.000 Rh
```

Computed properties:
Electronic total energy = -9.575 eV/atom
DOS(E_F) = 3.00 states/eV per cell


A geometry-optimized Ta2ReHRh structure, computed with PBE.

```
Ta2ReHRh
1.0
4.267 0.000 0.000
0.000 4.267 0.000
0.000 0.000 3.717
Ta Re H Rh
2 1 1 1
direct
0.000 0.500 0.000 Ta
0.500 0.000 0.000 Ta
0.000 0.000 0.500 Re
0.000 0.000 0.000 H
0.500 0.500 0.500 Rh
```

Computed properties:
Electronic total energy = -9.544 eV/atom
DOS(E_F) = 3.75 states/eV per cell


A geometry-optimized Ta2ReHRh structure, computed with PBE.

```
Ta2ReHRh
1.0
4.349 0.000 0.000
0.000 4.349 0.000
0.000 0.000 3.572
Ta Re H Rh
2 1 1 1
direct
0.000 0.500 0.000 Ta
0.500 0.000 0.000 Ta
0.000 0.000 0.500 Re
0.500 0.500 0.000 H
0.500 0.500 0.500 Rh
```

Computed properties:
Electronic total energy = -9.587 eV/atom
DOS(E_F) = 3.37 states/eV per cell


A geometry-optimized ReTc2HRh structure, computed with PBE.

```
ReTc2HRh
1.0
3.941 0.000 0.000
0.000 3.941 0.000
0.000 0.000 3.863
Re Tc H Rh
1 2 1 1
direct
0.000 0.000 0.000 Re
0.000 0.500 0.500 Tc
0.500 0.000 0.500 Tc
0.500 0.500 0.500 H
0.500 0.500 0.000 Rh
```

Computed properties:
Electronic total energy = -8.789 eV/atom
DOS(E_F) = 4.05 states/eV per cell


A geometry-optimized ReTc2HRh structure, computed with PBE.

```
ReTc2HRh
1.0
3.914 0.000 0.000
0.000 3.914 0.000
0.000 0.000 3.929
Re Tc H Rh
1 2 1 1
direct
0.000 0.000 0.000 Re
0.000 0.500 0.500 Tc
0.500 0.000 0.500 Tc
0.000 0.000 0.500 H
0.500 0.500 0.000 Rh
```

Computed properties:
Electronic total energy = -8.749 eV/atom
DOS(E_F) = 4.50 states/eV per cell


A geometry-optimized Re2TcHRh structure, computed with PBE.

```
Re2TcHRh
1.0
3.942 0.000 0.000
0.000 3.942 0.000
0.000 0.000 3.900
Re Tc H Rh
2 1 1 1
direct
0.000 0.500 0.000 Re
0.500 0.000 0.000 Re
0.000 0.000 0.500 Tc
0.500 0.500 0.000 H
0.500 0.500 0.500 Rh
```

Computed properties:
Electronic total energy = -9.134 eV/atom
DOS(E_F) = 2.98 states/eV per cell


A geometry-optimized Re2TcHRh structure, computed with PBE.

```
Re2TcHRh
1.0
3.931 0.000 0.000
0.000 3.931 0.000
0.000 0.000 3.919
Re Tc H Rh
2 1 1 1
direct
0.000 0.500 0.000 Re
0.500 0.000 0.000 Re
0.000 0.000 0.500 Tc
0.000 0.000 0.000 H
0.500 0.500 0.500 Rh
```

Computed properties:
Electronic total energy = -9.135 eV/atom
DOS(E_F) = 3.61 states/eV per cell


A geometry-optimized Re2TcHRh structure, computed with PBE.

```
Re2TcHRh
1.0
4.678 0.000 0.000
0.000 4.678 0.000
0.000 0.000 4.760
Re Tc H Rh
2 1 1 1
direct
0.000 0.500 0.000 Re
0.500 0.000 0.000 Re
0.000 0.000 0.000 Tc
0.500 0.500 0.500 H
0.000 0.000 0.500 Rh
```

Computed properties:
Electronic total energy = -6.659 eV/atom
DOS(E_F) = 5.62 states/eV per cell


A geometry-optimized TiReH2Rh structure, computed with PBE.

```
TiReH2Rh
1.0
3.524 0.000 0.000
0.000 3.524 0.000
0.000 0.000 5.069
Ti Re H Rh
1 1 2 1
direct
0.000 0.000 0.000 Ti
0.500 0.500 0.000 Re
0.000 0.500 0.500 H
0.500 0.000 0.500 H
0.500 0.500 0.500 Rh
```

Computed properties:
Electronic total energy = -6.325 eV/atom
DOS(E_F) = 4.05 states/eV per cell